A.
Density functional theory data (GGA-PBE) for crystalline Tb3Te2C at its relaxed geometry.

abc: 3.8807 5.8665 13.3180
angles: 90.00 90.00 90.00
Last column: nearest neighbours and their distance in Å.
Space group Immm (No. 71)
Unique sites:
Tb  0.0000  0.0000  0.0000 [2 per cell]  2 C 2.93, 4 Te 3.08
Tb  0.0000  0.0000  0.3785 [4 per cell]  2 C 2.53
Te  0.0000  0.5000  0.3206 [4 per cell]  6 Tb 3.03-3.29
C  0.0000  0.5000  0.0000 [2 per cell]  4 Tb 2.53

=====

B.
Density functional theory data (GGA-PBE) for crystalline Tb3Te2C at its relaxed geometry.

abc: 13.7375 5.9742 7.7707
angles: 90.00 106.37 90.00
Last column: nearest neighbours and their distance in Å.
Space group C2/c (No. 15)
Unique sites:
Tb  0.0000  0.0482  0.2500 [4 per cell]  1 C 2.48
Tb  0.1234  0.4993  0.5622 [8 per cell]  2 C 2.54-2.55
Te  0.1794  0.0006  0.0900 [8 per cell]  6 Tb 3.07-3.25
C  0.0000  0.4627  0.2500 [4 per cell]  5 Tb 2.48-2.55

=====

What is the least stable structure shown above? It is A.